Below is a geometry-optimized ErCu11Si structure, with properties calculated at the PBE level.

a = 4.784 Å, b = 6.436 Å, c = 6.434 Å
α = 82.47°, β = 68.17°, γ = 69.36°
Fractional coordinates of all 13 atoms:
Er: 0.000 0.000 0.000
Cu: 0.000 0.500 0.000
Cu: 0.994 0.646 0.354
Cu: 0.287 0.221 0.219
Cu: 0.493 0.779 0.219
Cu: 0.500 0.000 0.500
Cu: 0.006 0.354 0.646
Cu: 0.713 0.779 0.781
Cu: 0.652 0.354 0.354
Cu: 0.507 0.221 0.781
Cu: 0.000 0.000 0.500
Cu: 0.348 0.646 0.646
Si: 0.500 0.500 0.000

Values from the calculation:
Its raw total energy is -4.377 eV per atom. Its uncorrected formation energy is -179 kJ/mol of formula units.